Entry from the Alexandria database: a relaxed structure of Na2Zr2Te6Au (GGA-PBE).

The calculation puts the formation energy (no corrections) at -0.663 eV per atom. Its crystal system is monoclinic.

abc: 7.0622 12.9576 8.0372
angles: 90.00 107.64 90.00
Space group C2/m (No. 12)
Symmetry-distinct sites (fractional):
Na1 0.0000 0.1547 0.0000 [4 per cell]
Zr1 0.0000 0.3248 0.5000 [4 per cell]
Te1 0.2444 0.3280 0.2718 [8 per cell]
Te2 0.2458 0.5000 0.7010 [4 per cell]
Au1 0.0000 0.0000 0.5000 [2 per cell]


Entry from the Alexandria database: a relaxed structure of SmMg2Pb2 (GGA-PBE).

Its crystal system is monoclinic. For the energy relative to the lowest polymorph listed for this composition, the calculation gives 0.0 meV/atom.

abc: 3.5996 13.3807 6.1987
angles: 90.00 106.73 90.00
Space group P2_1/m (No. 11)
Symmetry-distinct sites (fractional):
Sm1 0.0361 0.2500 0.0701 [2 per cell]
Mg1 0.2930 0.5864 0.5858 [4 per cell]
Pb1 0.0000 0.0000 0.0000 [2 per cell]
Pb2 0.3076 0.2500 0.6120 [2 per cell]


Entry from the Alexandria database: a relaxed structure of Ca6SnPd2 (GGA-PBE).

Its crystal system is orthorhombic. Its final energy is -3.49 eV/atom.

abc: 9.7307 9.8699 10.9355
angles: 90.00 90.00 90.00
Space group Immm (No. 71)
Symmetry-distinct sites (fractional):
Ca1 0.0000 0.1985 0.2417 [8 per cell]
Ca2 0.1916 0.5000 0.1662 [8 per cell]
Ca3 0.2114 0.3198 0.5000 [8 per cell]
Sn1 0.0000 0.0000 0.0000 [2 per cell]
Sn2 0.0000 0.0000 0.5000 [2 per cell]
Pd1 0.0000 0.3372 0.0000 [4 per cell]
Pd2 0.0000 0.5000 0.3708 [4 per cell]


Number 1: N(E_F) 14.13 states/eV/cell, V 701 Å³ per cell. Number 2: N(E_F) 8.33 states/eV/cell, V 286 Å³ per cell. Number 3: N(E_F) 19.09 states/eV/cell, V 1050 Å³ per cell.